Ce2AlSi2Ru5 | PBE-GGA | relaxed

Volume in Å³ per atom: 16.41
E_tot in eV per atom: -7.926
Space-group type: P4/mbm (127)
Raw formation energy in kJ/mol of formula units: -620

Cell and atoms, written as POSCAR:
```
Ce2AlSi2Ru5
1.0
10.0466 0.0000 0.0000
0.0000 10.0466 0.0000
0.0000 0.0000 3.2519
Ce Al Si Ru
4 2 4 10
Direct
0.1741 0.3259 0.0000
0.3259 0.8259 0.0000
0.6741 0.1741 0.0000
0.8259 0.6741 0.0000
0.0000 0.0000 0.0000
0.5000 0.5000 0.0000
0.1261 0.6261 0.0000
0.3739 0.1261 0.0000
0.6261 0.8739 0.0000
0.8739 0.3739 0.0000
0.0000 0.5000 0.5000
0.0665 0.7912 0.5000
0.2088 0.0665 0.5000
0.2912 0.5665 0.5000
0.4335 0.2912 0.5000
0.5000 0.0000 0.5000
0.5665 0.7088 0.5000
0.7088 0.4335 0.5000
0.7912 0.9335 0.5000
0.9335 0.2088 0.5000
```


TiHgSe2 | PBE-GGA | relaxed

Volume in Å³ per atom: 27.46
E_tot in eV per atom: -4.620
Space-group type: P6_3/mmc (194)
Raw formation energy in kJ/mol of formula units: -320

Cell and atoms, written as POSCAR:
```
TiHgSe2
1.0
3.5302 0.0000 0.0000
-1.7651 3.0573 0.0000
0.0000 0.0000 20.3511
Ti Hg Se
2 2 4
Direct
0.0000 0.0000 0.0000
0.0000 0.0000 0.5000
0.3333 0.6667 0.2500
0.6667 0.3333 0.7500
0.3333 0.6667 0.0762
0.3333 0.6667 0.4238
0.6667 0.3333 0.5762
0.6667 0.3333 0.9238
```


CsAuBrCl2 | PBE-GGA | relaxed

Volume in Å³ per atom: 29.78
E_tot in eV per atom: -2.821
Space-group type: P4/mmm (123)
Raw formation energy in kJ/mol of formula units: -445

Cell and atoms, written as POSCAR:
```
CsAuBrCl2
1.0
5.2546 0.0000 0.0000
0.0000 5.2546 0.0000
0.0000 0.0000 5.3936
Cs Au Br Cl
1 1 1 2
Direct
0.0000 0.0000 0.0000
0.5000 0.5000 0.5000
0.5000 0.5000 0.0000
0.0000 0.5000 0.5000
0.5000 0.0000 0.5000
```


Th3Al8Ag3 | PBE-GGA | relaxed

Volume in Å³ per atom: 20.61
E_tot in eV per atom: -4.655
Distance to the lowest polymorph of the same formula in eV per atom: 0.000
Space-group type: Immm (71)
Formation enthalpy at 0 K in meV/atom: -316

Cell and atoms, written as POSCAR:
```
Th3Al8Ag3
1.0
-2.2442 4.9587 6.4820
2.2442 -4.9587 6.4820
2.2442 4.9587 -6.4820
Th Al Ag
3 8 3
Direct
0.0000 0.0000 0.0000
0.2990 0.2990 0.0000
0.7010 0.7010 0.0000
0.0276 0.6619 0.3656
0.1486 0.8676 0.2811
0.2963 0.6619 0.6344
0.4135 0.1324 0.2811
0.5865 0.8676 0.7189
0.7037 0.3381 0.3656
0.8514 0.1324 0.7189
0.9724 0.3381 0.6344
0.2902 0.5000 0.7902
0.5000 0.0000 0.5000
0.7098 0.5000 0.2098
```


RbLiS2N | PBE-GGA | relaxed

Volume in Å³ per atom: 38.98
E_tot in eV per atom: -2.608
Distance to the lowest polymorph of the same formula in eV per atom: 0.748
Space-group type: P4/mmm (123)
Raw formation energy in kJ/mol of formula units: 620

Cell and atoms, written as POSCAR:
```
RbLiS2N
1.0
6.0073 0.0000 0.0000
0.0000 6.0073 0.0000
0.0000 0.0000 5.4000
Rb Li S N
1 1 2 1
Direct
0.0000 0.0000 0.0000
0.5000 0.5000 0.5000
0.0000 0.5000 0.0000
0.5000 0.0000 0.0000
0.0000 0.0000 0.5000
```


RuPb2 | PBE-GGA | relaxed

Volume in Å³ per atom: 29.77
E_tot in eV per atom: -4.416
Space-group type: P6_3/mmc (194)
Formation enthalpy at 0 K in meV/atom: 1148

Cell and atoms, written as POSCAR:
```
RuPb2
1.0
6.2827 0.0000 0.0000
-3.1413 5.4410 0.0000
0.0000 0.0000 10.4492
Ru Pb
4 8
Direct
0.3333 0.6667 0.0486
0.3333 0.6667 0.4514
0.6667 0.3333 0.5486
0.6667 0.3333 0.9514
0.0000 0.0000 0.0000
0.0000 0.0000 0.5000
0.1712 0.3424 0.2500
0.1712 0.8288 0.2500
0.3424 0.1712 0.7500
0.6576 0.8288 0.2500
0.8288 0.1712 0.7500
0.8288 0.6576 0.7500
```


Zr2ScCu | PBE-GGA | relaxed

Volume in Å³ per atom: 20.39
E_tot in eV per atom: -6.825
Distance to the lowest polymorph of the same formula in eV per atom: 0.171
Space-group type: P2/m (10)
Formation enthalpy at 0 K in meV/atom: 56

Cell and atoms, written as POSCAR:
```
Zr2ScCu
1.0
3.3530 0.0000 0.0000
0.0000 4.0550 0.0000
-0.0760 0.0000 5.9977
Zr Sc Cu
2 1 1
Direct
0.0051 0.0000 0.2601
0.9949 0.0000 0.7399
0.5000 0.5000 0.0000
0.5000 0.5000 0.5000
```


AlTlPb2 | PBE-GGA | relaxed

Volume in Å³ per atom: 28.52
E_tot in eV per atom: -3.199
Distance to the lowest polymorph of the same formula in eV per atom: 0.070
Space-group type: I-4m2 (119)
Formation enthalpy at 0 K in meV/atom: 182

Cell and atoms, written as POSCAR:
```
AlTlPb2
1.0
-2.4358 2.4358 4.8068
2.4358 -2.4358 4.8068
2.4358 2.4358 -4.8068
Al Tl Pb
1 1 2
Direct
0.0000 0.0000 0.0000
0.7500 0.2500 0.5000
0.2500 0.7500 0.5000
0.5000 0.5000 0.0000
```


Er2CuSe | PBE-GGA | relaxed

Volume in Å³ per atom: 22.42
E_tot in eV per atom: -5.181
Distance to the lowest polymorph of the same formula in eV per atom: 0.000
Space-group type: Cmcm (63)
Raw formation energy in kJ/mol of formula units: -388

Cell and atoms, written as POSCAR:
```
Er2CuSe
1.0
1.9781 -11.2581 0.0000
1.9781 11.2581 0.0000
0.0000 0.0000 4.0274
Er Cu Se
4 2 2
Direct
0.0660 0.9340 0.7500
0.3217 0.6783 0.7500
0.6783 0.3217 0.2500
0.9340 0.0660 0.2500
0.4613 0.5387 0.7500
0.5387 0.4613 0.2500
0.1939 0.8061 0.7500
0.8061 0.1939 0.2500
```


Sm4Se5F2 | PBE-GGA | relaxed

Volume in Å³ per atom: 25.87
E_tot in eV per atom: -5.902
Space-group type: C2/m (12)
Raw formation energy in kJ/mol of formula units: -2401

Cell and atoms, written as POSCAR:
```
Sm4Se5F2
1.0
8.7509 -2.0834 0.0000
8.7509 2.0834 0.0000
-1.7817 0.0000 7.8052
Sm Se F
4 5 2
Direct
0.0173 0.0173 0.2577
0.2897 0.2897 0.7830
0.7103 0.7103 0.2170
0.9827 0.9827 0.7423
0.1497 0.1497 0.9492
0.1732 0.1732 0.4386
0.5000 0.5000 0.5000
0.8268 0.8268 0.5614
0.8503 0.8503 0.0508
0.4438 0.4438 0.8402
0.5562 0.5562 0.1598
```


DyUCrC3 | PBE-GGA | relaxed

Volume in Å³ per atom: 13.38
E_tot in eV per atom: -9.008
Space-group type: C2/m (12)
Formation enthalpy at 0 K in meV/atom: -143

Cell and atoms, written as POSCAR:
```
DyUCrC3
1.0
6.5360 -1.8849 0.0000
6.5360 1.8849 0.0000
-1.7846 0.0000 6.5185
Dy U Cr C
2 2 2 6
Direct
0.1435 0.1435 0.0745
0.8565 0.8565 0.9255
0.1486 0.1486 0.5756
0.8514 0.8514 0.4244
0.4973 0.4973 0.2567
0.5027 0.5027 0.7433
0.0041 0.0041 0.2691
0.3329 0.3329 0.6378
0.3423 0.3423 0.1964
0.6577 0.6577 0.8036
0.6671 0.6671 0.3622
0.9959 0.9959 0.7309
```


LiMnCu2Cl6 | PBE-GGA | relaxed

Volume in Å³ per atom: 21.36
E_tot in eV per atom: -3.961
Space-group type: C2/c (15)
Raw formation energy in kJ/mol of formula units: -893

Cell and atoms, written as POSCAR:
```
LiMnCu2Cl6
1.0
6.0561 -5.4794 0.0000
6.0561 5.4794 0.0000
-1.0412 0.0000 6.4356
Li Mn Cu Cl
2 2 4 12
Direct
0.2359 0.7641 0.7500
0.7641 0.2359 0.2500
0.4098 0.5902 0.2500
0.5902 0.4098 0.7500
0.0811 0.2625 0.8122
0.2625 0.0811 0.3122
0.7375 0.9189 0.6878
0.9189 0.7375 0.1878
0.0474 0.2195 0.1371
0.1407 0.6260 0.3811
0.2195 0.0474 0.6371
0.3070 0.4644 0.8796
0.3740 0.8593 0.1189
0.4644 0.3070 0.3796
0.5356 0.6930 0.6204
0.6260 0.1407 0.8811
0.6930 0.5356 0.1204
0.7805 0.9526 0.3629
0.8593 0.3740 0.6189
0.9526 0.7805 0.8629
```